# PBE-GGA HoTl2InSe4, optimized geometry
# Calculated volume ... 911.7 Å³ per cell
# Density of states at the Fermi level ... 0.77 states/eV/f.u.
# Uncorrected formation energy ... -0.879 eV per atom
# E ... -33.02 eV per formula unit
data_HoTl2InSe4
_chemical_formula_sum 'Ho4 Tl8 In4 Se16'
_cell_length_a 8.564
_cell_length_b 8.642
_cell_length_c 12.318
_cell_angle_alpha 90.00
_cell_angle_beta 90.00
_cell_angle_gamma 90.00
_symmetry_space_group_name_H-M 'I m m a'
_symmetry_Int_Tables_number 74
_symmetry_space_group_name_Hall '-I 2b 2'
loop_
_atom_site_label
_atom_site_type_symbol
_atom_site_fract_x
_atom_site_fract_y
_atom_site_fract_z
Ho1 Ho 0.250 0.250 0.250
Tl1 Tl 0.000 0.000 0.000
Tl2 Tl 0.250 0.250 0.750
In1 In 0.000 0.000 0.500
Se1 Se 0.000 0.028 0.264
Se2 Se 0.220 0.250 0.487